[1]
First-principles (PBE) data for AcHO2 after structural relaxation, as listed in Alexandria via LeMat-Bulk.

a = 3.9838 Å, b = 3.9838 Å, c = 13.9947 Å
α = 90.00°, β = 90.00°, γ = 120.00°
Space group R-3m (No. 166, hexagonal axes)
Inequivalent atoms, fractional coordinates:
Ac1 0.0000 0.0000 0.0000 (multiplicity 3)
H1 0.0000 0.0000 0.5000 (multiplicity 3)
O1 0.0000 0.0000 0.4119 (multiplicity 6)

Output
* V: 64.12 Å³/f.u.
* calculated density: 6.73 g/cm³
* E above lowest polymorph: 122 meV/atom
* magnetization: 0.0 μB per formula unit



[2]
First-principles (PBE) data for AcHO2 after structural relaxation, as listed in Alexandria via LeMat-Bulk.

a = 4.590 Å, b = 4.114 Å, c = 6.708 Å
α = 90.00°, β = 106.79°, γ = 90.00°
Space group P2_1/m (No. 11)
Inequivalent atoms, fractional coordinates:
Ac1 0.171 0.250 0.306 (multiplicity 2)
H1 0.471 0.750 0.064 (multiplicity 2)
O1 0.256 0.750 0.059 (multiplicity 2)
O2 0.258 0.750 0.534 (multiplicity 2)

Output
* V: 60.64 Å³/f.u.
* calculated density: 7.12 g/cm³
* E above lowest polymorph: 0 meV/atom
* magnetization: 0.0 μB per formula unit



[3]
First-principles (PBE) data for Ac4H2O after structural relaxation, as listed in Alexandria via LeMat-Bulk.

a = 5.255 Å, b = 5.255 Å, c = 12.662 Å
α = 90.00°, β = 90.00°, γ = 90.00°
Space group I4/mmm (No. 139)
Inequivalent atoms, fractional coordinates:
Ac1 0.000 0.000 0.233 (multiplicity 4)
Ac2 0.000 0.500 0.000 (multiplicity 4)
H1 0.000 0.000 0.424 (multiplicity 4)
O1 0.000 0.000 0.000 (multiplicity 2)

Output
* V: 174.83 Å³/f.u.
* calculated density: 8.80 g/cm³
* total energy: -4.84 eV per atom
* magnetization: 0.0 μB per formula unit



[4]
First-principles (PBE) data for AcH3O3 after structural relaxation, as listed in Alexandria via LeMat-Bulk.

a = 7.1669 Å, b = 7.1669 Å, c = 14.5787 Å
α = 90.00°, β = 90.00°, γ = 120.00°
Space group R-3 (No. 148, hexagonal axes)
Inequivalent atoms, fractional coordinates:
Ac1 0.0000 0.0000 0.1798 (multiplicity 6)
H1 0.0073 0.7287 0.9796 (multiplicity 18)
O1 0.0135 0.5540 0.5957 (multiplicity 18)

Output
* V: 108.08 Å³/f.u.
* calculated density: 4.27 g/cm³
* total energy: -6.06 eV per atom
* magnetization: 0.0 μB per formula unit



[5]
First-principles (PBE) data for Ac4H8O3 after structural relaxation, as listed in Alexandria via LeMat-Bulk.

a = 11.528 Å, b = 11.528 Å, c = 11.528 Å
α = 90.00°, β = 90.00°, γ = 90.00°
Space group Fm-3m (No. 225)
Inequivalent atoms, fractional coordinates:
Ac1 0.000 0.000 0.000 (multiplicity 4)
Ac2 0.000 0.000 0.500 (multiplicity 4)
Ac3 0.000 0.250 0.250 (multiplicity 24)
H1 0.124 0.124 0.124 (multiplicity 32)
H2 0.172 0.172 0.328 (multiplicity 32)
O1 0.000 0.000 0.281 (multiplicity 24)

Output
* V: 191.52 Å³/f.u.
* calculated density: 8.36 g/cm³
* total energy: -4.92 eV per atom
* magnetization: 0.8 μB per formula unit



[6]
First-principles (PBE) data for AcH2OsO8 after structural relaxation, as listed in Alexandria via LeMat-Bulk.

a = 4.817 Å, b = 5.059 Å, c = 6.668 Å
α = 89.94°, β = 89.83°, γ = 61.72°
Space group P-1 (No. 2)
Inequivalent atoms, fractional coordinates:
Ac1 0.000 0.000 0.000 (multiplicity 1)
H1 0.451 0.064 0.314 (multiplicity 2)
Os1 0.000 0.500 0.500 (multiplicity 1)
O1 0.137 0.217 0.696 (multiplicity 2)
O2 0.221 0.178 0.289 (multiplicity 2)
O3 0.354 0.586 0.555 (multiplicity 2)
O4 0.418 0.432 0.961 (multiplicity 2)

Output
* V: 143.12 Å³/f.u.
* calculated density: 6.35 g/cm³
* total energy: -6.36 eV per atom
* magnetization: 1.0 μB per formula unit



[7]
First-principles (PBE) data for Ac2HOsO6 after structural relaxation, as listed in Alexandria via LeMat-Bulk.

a = 5.356 Å, b = 5.698 Å, c = 5.791 Å
α = 64.43°, β = 63.71°, γ = 66.23°
Space group P1 (No. 1)
Inequivalent atoms, fractional coordinates:
Ac1 0.000 0.000 0.000 (multiplicity 1)
Ac2 0.497 0.505 0.542 (multiplicity 1)
H1 0.633 0.580 0.989 (multiplicity 1)
Os1 0.249 0.252 0.272 (multiplicity 1)
O1 0.035 0.403 0.581 (multiplicity 1)
O2 0.102 0.943 0.489 (multiplicity 1)
O3 0.435 0.587 0.009 (multiplicity 1)
O4 0.467 0.114 0.956 (multiplicity 1)
O5 0.579 0.069 0.400 (multiplicity 1)
O6 0.930 0.501 0.114 (multiplicity 1)

Output
* V: 137.94 Å³/f.u.
* calculated density: 8.92 g/cm³
* total energy: -7.45 eV per atom
* magnetization: 3.0 μB per formula unit



[8]
First-principles (PBE) data for AcHOsO6 after structural relaxation, as listed in Alexandria via LeMat-Bulk.

a = 4.866 Å, b = 5.293 Å, c = 5.433 Å
α = 61.30°, β = 88.42°, γ = 87.65°
Space group P1 (No. 1)
Inequivalent atoms, fractional coordinates:
Ac1 0.000 0.000 0.000 (multiplicity 1)
H1 0.763 0.610 0.791 (multiplicity 1)
Os1 0.609 0.304 0.345 (multiplicity 1)
O1 0.373 0.607 0.182 (multiplicity 1)
O2 0.421 0.102 0.658 (multiplicity 1)
O3 0.491 0.150 0.126 (multiplicity 1)
O4 0.826 0.506 0.461 (multiplicity 1)
O5 0.867 0.541 0.965 (multiplicity 1)
O6 0.908 0.044 0.439 (multiplicity 1)

Output
* V: 122.64 Å³/f.u.
* calculated density: 6.96 g/cm³
* total energy: -7.04 eV per atom
* magnetization: 0.0 μB per formula unit